Entry 1:
This record from Alexandria describes a relaxed structure of CsRbBr2F6. The functional is PBE.

Calculated values
ΔE_f (raw) in kJ/mol of atoms: -159.8
Symmetry: C2/c, No. 15
Total moment in μB per formula unit: 0.0

Unit cell a=8.075 b=8.075 c=8.327 alpha=104.39 beta=104.39 gamma=107.06
Sites, in units of the cell vectors:
Cs  0.791  0.209  0.750
Cs  0.209  0.791  0.250
F  0.160  0.156  0.439
F  0.844  0.840  0.061
F  0.494  0.714  0.113
F  0.156  0.160  0.939
F  0.286  0.506  0.387
F  0.506  0.286  0.887
F  0.840  0.844  0.561
F  0.714  0.494  0.613
F  0.383  0.892  0.668
F  0.892  0.383  0.168
F  0.108  0.617  0.832
F  0.617  0.108  0.332
Br  0.733  0.974  0.198
Br  0.267  0.026  0.802
Br  0.974  0.733  0.698
Br  0.026  0.267  0.302
Rb  0.443  0.557  0.750
Rb  0.557  0.443  0.250


Entry 2:
This record from Alexandria describes a relaxed structure of NpInPtAu. The functional is PBE.

Calculated values
Energy of formation from the pure elements in eV per atom: -0.323
Symmetry: F-43m, No. 216
Total moment in μB per formula unit: 3.8

Unit cell a=4.915 b=4.915 c=4.915 alpha=60.00 beta=60.00 gamma=60.00
Sites, in units of the cell vectors:
In  0.500  0.500  0.500
Pt  0.250  0.250  0.250
Np  0.000  0.000  0.000
Au  0.750  0.750  0.750


Entry 3:
This record from Alexandria describes a relaxed structure of LaHf2Be. The functional is PBE.

Calculated values
Energy of formation from the pure elements in eV per atom: 0.581
Symmetry: I-42d, No. 122
Total moment in μB per formula unit: 0.0

Unit cell a=4.239 b=4.239 c=10.622 alpha=78.49 beta=78.49 gamma=90.00
Sites, in units of the cell vectors:
Be  0.250  0.750  0.500
Be  0.500  0.500  0.000
Hf  0.875  0.394  0.750
Hf  0.375  0.856  0.750
Hf  0.144  0.125  0.250
Hf  0.606  0.625  0.250
La  0.750  0.250  0.500
La  0.000  0.000  0.000


Entry 4:
This record from Alexandria describes a relaxed structure of La2CdAuN. The functional is PBE.

Calculated values
ΔE_f (raw) in kJ/mol of atoms: -60.5
Symmetry: P4/mmm, No. 123
Total moment in μB per formula unit: 0.0

Unit cell a=5.056 b=5.056 c=4.602 alpha=90.00 beta=90.00 gamma=90.00
Sites, in units of the cell vectors:
N  0.000  0.000  0.000
Cd  0.000  0.000  0.500
La  0.000  0.500  0.000
La  0.500  0.000  0.000
Au  0.500  0.500  0.500


Entry 5:
This record from Alexandria describes a relaxed structure of TmScPd. The functional is PBE.

Calculated values
ΔE to the lowest computed polymorph in eV/atom: 0.084
Energy of formation from the pure elements in eV per atom: -0.560
Symmetry: I4mm, No. 107
Total moment in μB per formula unit: 0.0

Unit cell a=3.421 b=3.421 c=6.246 alpha=105.89 beta=105.89 gamma=90.00
Sites, in units of the cell vectors:
Tm  0.021  0.021  0.042
Sc  0.304  0.304  0.608
Pd  0.675  0.675  0.350


Entry 6:
This record from Alexandria describes a relaxed structure of Ac12InPd5. The functional is PBE.

Calculated values
Energy of formation from the pure elements in eV per atom: -0.492
Symmetry: Immm, No. 71
Total moment in μB per formula unit: 0.0

Unit cell a=9.373 b=9.373 c=9.373 alpha=106.28 beta=112.69 gamma=109.51
Sites, in units of the cell vectors:
Ac  0.184  0.970  0.785
Ac  0.882  0.179  0.703
Ac  0.118  0.821  0.297
Ac  0.184  0.399  0.215
Ac  0.693  0.327  0.020
Ac  0.693  0.673  0.366
Ac  0.816  0.030  0.215
Ac  0.307  0.673  0.980
Ac  0.475  0.179  0.297
Ac  0.816  0.601  0.785
Ac  0.525  0.821  0.703
Ac  0.307  0.327  0.634
Pd  0.500  0.129  0.629
Pd  0.358  0.358  0.000
Pd  0.000  0.000  0.000
Pd  0.500  0.871  0.371
Pd  0.642  0.642  0.000
In  0.000  0.500  0.500


Entry 7:
This record from Alexandria describes a relaxed structure of Hf2ReO. The functional is PBE.

Calculated values
ΔE_f (raw) in kJ/mol of atoms: -82.2
Symmetry: I-42d, No. 122
Total moment in μB per formula unit: 0.0

Unit cell a=6.230 b=6.230 c=5.678 alpha=56.73 beta=56.73 gamma=90.00
Sites, in units of the cell vectors:
Hf  0.545  0.125  0.250
Hf  0.875  0.795  0.750
Hf  0.205  0.625  0.250
Hf  0.375  0.455  0.750
O  0.250  0.750  0.500
O  0.500  0.500  0.000
Re  0.750  0.250  0.500
Re  0.000  0.000  0.000


Entry 8:
This record from Alexandria describes a relaxed structure of Ta2HgTe. The functional is PBE.

Calculated values
ΔE to the lowest computed polymorph in eV/atom: 0.234
ΔE_f (raw) in kJ/mol of atoms: 40.4
Symmetry: R-3m, No. 166
Total moment in μB per formula unit: 0.0

Unit cell a=9.589 b=9.589 c=9.589 alpha=18.86 beta=18.86 gamma=18.86
Sites, in units of the cell vectors:
Ta  0.498  0.498  0.498
Ta  0.002  0.002  0.002
Hg  0.250  0.250  0.250
Te  0.750  0.750  0.750


total moment of number 7 (Hf2ReO)? 0.0 μB per formula unit


The highest total moment belongs to which entry? NpInPtAu